# PBE Ca2TaAuO, relaxed
# E_form (uncorrected) ... 4.916 eV per formula unit
# Magnetization ... 3.51 Bohr magnetons per cell
# Uncorrected energy ... -19.18 eV per cell
# DOS(E_F) ... 0.91 states/eV per atom
data_Ca2TaAuO
_space_group_name_H-M_alt 'P 4/m m m'
_space_group_IT_number 123
_space_group_name_Hall '-P 4 2'
_cell_length_a 5.890
_cell_length_b 5.890
_cell_length_c 4.913
_cell_angle_alpha 90.00
_cell_angle_beta 90.00
_cell_angle_gamma 90.00
loop_
_atom_site_label
_atom_site_type_symbol
_atom_site_fract_x
_atom_site_fract_y
_atom_site_fract_z
Ca1 Ca 0.000 0.500 0.000
Ta1 Ta 0.000 0.000 0.000
Au1 Au 0.000 0.000 0.500
O1 O 0.500 0.500 0.500

# PBE Nd2ErIn, relaxed
# Magnetization ... 0.00 Bohr magnetons per cell
# E_form ... -198.2 meV per atom
# Uncorrected energy ... -17.63 eV per cell
# Energy above the lowest structure with this stoichiometry ... 0.069 eV per atom
# DOS(E_F) ... 1.36 states/eV per atom
data_Nd2ErIn
_space_group_name_H-M_alt 'P 4/m m m'
_space_group_IT_number 123
_space_group_name_Hall '-P 4 2'
_cell_length_a 3.632
_cell_length_b 3.632
_cell_length_c 9.505
_cell_angle_alpha 90.00
_cell_angle_beta 90.00
_cell_angle_gamma 90.00
loop_
_atom_site_label
_atom_site_type_symbol
_atom_site_fract_x
_atom_site_fract_y
_atom_site_fract_z
Nd1 Nd 0.000 0.000 0.229
Er1 Er 0.500 0.500 0.500
In1 In 0.500 0.500 0.000

# PBE CsSb2Pb5, relaxed
# E_form (uncorrected) ... -0.664 eV per formula unit
# Magnetization ... 0.00 Bohr magnetons per cell
# Uncorrected energy ... -56.61 eV per cell
# DOS(E_F) ... 0.28 states/eV per atom
data_CsSb2Pb5
_space_group_name_H-M_alt 'I m m m'
_space_group_IT_number 71
_space_group_name_Hall '-I 2 2'
_cell_length_a 4.445
_cell_length_b 10.197
_cell_length_c 13.062
_cell_angle_alpha 90.00
_cell_angle_beta 90.00
_cell_angle_gamma 90.00
loop_
_atom_site_label
_atom_site_type_symbol
_atom_site_fract_x
_atom_site_fract_y
_atom_site_fract_z
Cs1 Cs 0.000 0.000 0.000
Sb1 Sb 0.000 0.500 0.258
Pb1 Pb 0.000 0.183 0.347
Pb2 Pb 0.000 0.500 0.000

# PBE Ca2SmInTe4, relaxed
# E_form (uncorrected) ... -10.116 eV per formula unit
# Magnetization ... 0.00 Bohr magnetons per cell
# Uncorrected energy ... -34.14 eV per cell
# DOS(E_F) ... 0.09 states/eV per atom
data_Ca2SmInTe4
_space_group_name_H-M_alt 'P 1 2/m 1'
_space_group_IT_number 10
_cell_length_a 7.742
_cell_length_b 4.541
_cell_length_c 8.078
_cell_angle_alpha 90.00
_cell_angle_beta 108.76
_cell_angle_gamma 90.00
loop_
_space_group_symop_operation_xyz
'x,y,z'
'-x,-y,-z'
'-x,y,-z'
'x,-y,z'
loop_
_atom_site_label
_atom_site_type_symbol
_atom_site_fract_x
_atom_site_fract_y
_atom_site_fract_z
Ca1 Ca 0.000 0.000 0.000
Ca2 Ca 0.000 0.500 0.500
Sm1 Sm 0.500 0.000 0.500
In1 In 0.500 0.500 0.000
Te1 Te 0.244 0.000 0.735
Te2 Te 0.252 0.500 0.258